Record 1
Material: DyHoTeP
Method: DFT, PBE
State: relaxed

The calculation puts the volume at 103.1 Å³ per cell. The value obtained for the energy relative to the elements, uncorrected is -1517 meV/atom. As for the space-group type: R3m, No. 160.

a = 7.5890 Å, b = 7.5890 Å, c = 7.5890 Å
α = 31.04°, β = 31.04°, γ = 31.04°
Closest atoms and distances in Å follow each position.
Atoms (fractional coordinates):
Dy (0.0000, 0.0000, 0.0000)  3 P 2.77
Ho (0.8058, 0.8058, 0.8058)  3 P 2.80
Te (0.5697, 0.5697, 0.5697)  3 Dy 3.15, 3 Ho 3.15
P (0.4015, 0.4015, 0.4015)  3 Dy 2.77, 3 Ho 2.80



Record 2
Material: DyHoTh2P4
Method: DFT, PBE
State: relaxed

The calculation puts the volume at 190.9 Å³ per cell. As for the formation energy: -1.58 eV per atom. As for the space-group type: P2/m, No. 10.

a = 7.0155 Å, b = 4.0841 Å, c = 7.0757 Å
α = 90.00°, β = 109.70°, γ = 90.00°
Closest atoms and distances in Å follow each position.
Atoms (fractional coordinates):
Dy (0.0000, 0.0000, 0.0000)  6 P 2.85
Ho (0.0000, 0.5000, 0.5000)  6 P 2.85
Th (0.5000, 0.0000, 0.5000)  6 P 2.91
Th (0.5000, 0.5000, 0.0000)  6 P 2.91
P (0.2419, 0.0000, 0.7467)  2 Ho 2.85, 1 Dy 2.85, 3 Th 2.91
P (0.2424, 0.5000, 0.2479)  1 Ho 2.85, 2 Dy 2.85, 3 Th 2.91
P (0.7581, 0.0000, 0.2533)  2 Ho 2.85, 1 Dy 2.85, 3 Th 2.91
P (0.7576, 0.5000, 0.7521)  1 Ho 2.85, 2 Dy 2.85, 3 Th 2.91



Record 3
Material: DyHo2ThP4
Method: DFT, PBE
State: relaxed

The calculation puts the volume at 185.7 Å³ per cell. As for the formation energy: -1.61 eV per atom. As for the space-group type: P2/m, No. 10.

a = 6.9787 Å, b = 4.0414 Å, c = 6.9827 Å
α = 90.00°, β = 109.48°, γ = 90.00°
Closest atoms and distances in Å follow each position.
Atoms (fractional coordinates):
Dy (0.0000, 0.0000, 0.0000)  6 P 2.85-2.86
Ho (0.5000, 0.0000, 0.5000)  6 P 2.85
Ho (0.5000, 0.5000, 0.0000)  6 P 2.82
Th (0.0000, 0.5000, 0.5000)  6 P 2.88-2.89
P (0.2532, 0.5000, 0.2485)  3 Ho 2.82-2.85, 2 Dy 2.86, 1 Th 2.88
P (0.2561, 0.0000, 0.7553)  3 Ho 2.82-2.85, 1 Dy 2.85, 2 Th 2.89
P (0.7439, 0.0000, 0.2447)  3 Ho 2.82-2.85, 1 Dy 2.85, 2 Th 2.89
P (0.7468, 0.5000, 0.7515)  3 Ho 2.82-2.85, 2 Dy 2.86, 1 Th 2.88



Record 4
Material: Dy3HoTm2P6
Method: DFT, PBE
State: relaxed

The calculation puts the volume at 268.3 Å³ per cell. As for the formation energy: -1.61 eV per atom. As for the space-group type: C2/m, No. 12.

a = 6.9005 Å, b = 6.9005 Å, c = 6.8999 Å
α = 99.59°, β = 99.59°, γ = 119.99°
Closest atoms and distances in Å follow each position.
Atoms (fractional coordinates):
Dy (0.0000, 0.0000, 0.0000)  6 P 2.82-2.83
Dy (0.3336, 0.6664, 0.0000)  6 P 2.82-2.83
Dy (0.6664, 0.3336, 0.0000)  6 P 2.82-2.83
Ho (0.5000, 0.5000, 0.5000)  6 P 2.81
Tm (0.1667, 0.8333, 0.5000)  6 P 2.80
Tm (0.8333, 0.1667, 0.5000)  6 P 2.80
P (0.0830, 0.4176, 0.2528)  2 Tm 2.80, 1 Ho 2.81, 3 Dy 2.82-2.83
P (0.2477, 0.2477, 0.7471)  2 Tm 2.80, 1 Ho 2.81, 3 Dy 2.82-2.83
P (0.4176, 0.0830, 0.2528)  2 Tm 2.80, 1 Ho 2.81, 3 Dy 2.82-2.83
P (0.5824, 0.9170, 0.7472)  2 Tm 2.80, 1 Ho 2.81, 3 Dy 2.82-2.83
P (0.7523, 0.7523, 0.2529)  2 Tm 2.80, 1 Ho 2.81, 3 Dy 2.82-2.83
P (0.9170, 0.5824, 0.7472)  2 Tm 2.80, 1 Ho 2.81, 3 Dy 2.82-2.83



Record 5
Material: Dy3Ho2TmP6
Method: DFT, PBE
State: relaxed

The calculation puts the volume at 269.6 Å³ per cell. As for the formation energy: -1.61 eV per atom. As for the space-group type: C2/m, No. 12.

a = 6.9114 Å, b = 6.9114 Å, c = 6.9115 Å
α = 99.58°, β = 99.58°, γ = 119.99°
Closest atoms and distances in Å follow each position.
Atoms (fractional coordinates):
Dy (0.0000, 0.0000, 0.0000)  6 P 2.83-2.84
Dy (0.3330, 0.6670, 0.0000)  6 P 2.83
Dy (0.6670, 0.3330, 0.0000)  6 P 2.83
Ho (0.1665, 0.8335, 0.5000)  6 P 2.82
Ho (0.8335, 0.1665, 0.5000)  6 P 2.82
Tm (0.5000, 0.5000, 0.5000)  6 P 2.81
P (0.0854, 0.4174, 0.2522)  1 Tm 2.81, 2 Ho 2.82, 3 Dy 2.83
P (0.2508, 0.2508, 0.7482)  1 Tm 2.81, 2 Ho 2.82, 3 Dy 2.83-2.84
P (0.4174, 0.0854, 0.2522)  1 Tm 2.81, 2 Ho 2.82, 3 Dy 2.83
P (0.5826, 0.9146, 0.7478)  1 Tm 2.81, 2 Ho 2.82, 3 Dy 2.83
P (0.7492, 0.7492, 0.2518)  1 Tm 2.81, 2 Ho 2.82, 3 Dy 2.83-2.84
P (0.9146, 0.5826, 0.7478)  1 Tm 2.81, 2 Ho 2.82, 3 Dy 2.83



Record 6
Material: DyHoTm2P4
Method: DFT, PBE
State: relaxed

The calculation puts the volume at 177.3 Å³ per cell. As for the formation energy: -1.61 eV per atom. As for the space-group type: P2/m, No. 10.

a = 6.8792 Å, b = 3.9738 Å, c = 6.8801 Å
α = 90.00°, β = 109.47°, γ = 90.00°
Closest atoms and distances in Å follow each position.
Atoms (fractional coordinates):
Dy (0.0000, 0.0000, 0.0000)  6 P 2.82
Ho (0.0000, 0.5000, 0.5000)  6 P 2.82
Tm (0.5000, 0.0000, 0.5000)  6 P 2.79-2.80
Tm (0.5000, 0.5000, 0.0000)  6 P 2.80
P (0.2529, 0.0000, 0.7504)  3 Tm 2.79-2.80, 2 Ho 2.82, 1 Dy 2.82
P (0.2532, 0.5000, 0.2517)  3 Tm 2.80, 1 Ho 2.82, 2 Dy 2.82
P (0.7471, 0.0000, 0.2496)  3 Tm 2.79-2.80, 2 Ho 2.82, 1 Dy 2.82
P (0.7468, 0.5000, 0.7483)  3 Tm 2.80, 1 Ho 2.82, 2 Dy 2.82



Record 7
Material: Dy2HoUP4
Method: DFT, PBE
State: relaxed

The calculation puts the volume at 177.8 Å³ per cell. As for the formation energy: -1.45 eV per atom. As for the space-group type: P2/m, No. 10.

a = 6.8863 Å, b = 3.9680 Å, c = 6.8898 Å
α = 90.00°, β = 109.23°, γ = 90.00°
Closest atoms and distances in Å follow each position.
Atoms (fractional coordinates):
Dy (0.0000, 0.0000, 0.0000)  6 P 2.84-2.86
Dy (0.5000, 0.5000, 0.0000)  6 P 2.81-2.82
Ho (0.0000, 0.5000, 0.5000)  6 P 2.80-2.81
U (0.5000, 0.0000, 0.5000)  6 P 2.76-2.79
P (0.2535, 0.0000, 0.7448)  1 U 2.76, 2 Ho 2.81, 3 Dy 2.82-2.86
P (0.2544, 0.5000, 0.2553)  2 U 2.79, 1 Ho 2.80, 3 Dy 2.81-2.84
P (0.7456, 0.5000, 0.7447)  2 U 2.79, 1 Ho 2.80, 3 Dy 2.81-2.84
P (0.7465, 0.0000, 0.2552)  1 U 2.76, 2 Ho 2.81, 3 Dy 2.82-2.86



Record 8
Material: DyY3Ho2P6
Method: DFT, PBE
State: relaxed

The calculation puts the volume at 272.3 Å³ per cell. As for the formation energy: -1.62 eV per atom. As for the space-group type: C2/m, No. 12.

a = 6.9342 Å, b = 6.9342 Å, c = 6.9354 Å
α = 99.58°, β = 99.58°, γ = 119.99°
Closest atoms and distances in Å follow each position.
Atoms (fractional coordinates):
Dy (0.0000, 0.0000, 0.0000)  6 P 2.83
Y (0.1665, 0.8335, 0.5000)  6 P 2.83-2.84
Y (0.5000, 0.5000, 0.5000)  6 P 2.83-2.84
Y (0.8335, 0.1665, 0.5000)  6 P 2.83-2.84
Ho (0.3332, 0.6667, 0.0000)  6 P 2.82
Ho (0.6667, 0.3332, 0.0000)  6 P 2.82
P (0.0829, 0.4169, 0.2486)  2 Ho 2.82, 1 Dy 2.83, 3 Y 2.83-2.84
P (0.2513, 0.2513, 0.7516)  2 Ho 2.82, 1 Dy 2.83, 3 Y 2.83-2.84
P (0.4169, 0.0829, 0.2486)  2 Ho 2.82, 1 Dy 2.83, 3 Y 2.83-2.84
P (0.5831, 0.9171, 0.7514)  2 Ho 2.82, 1 Dy 2.83, 3 Y 2.83-2.84
P (0.7487, 0.7487, 0.2484)  2 Ho 2.82, 1 Dy 2.83, 3 Y 2.83-2.84
P (0.9171, 0.5831, 0.7514)  2 Ho 2.82, 1 Dy 2.83, 3 Y 2.83-2.84



Record 9
Material: DyYHo2P4
Method: DFT, PBE
State: relaxed

The calculation puts the volume at 180.9 Å³ per cell. As for the formation energy: -1.62 eV per atom. As for the space-group type: P2/m, No. 10.

a = 6.9250 Å, b = 3.9997 Å, c = 6.9253 Å
α = 90.00°, β = 109.46°, γ = 90.00°
Closest atoms and distances in Å follow each position.
Atoms (fractional coordinates):
Dy (0.0000, 0.0000, 0.0000)  6 P 2.83
Y (0.5000, 0.5000, 0.0000)  6 P 2.83
Ho (0.0000, 0.5000, 0.5000)  6 P 2.82
Ho (0.5000, 0.0000, 0.5000)  6 P 2.82
P (0.2492, 0.0000, 0.7484)  3 Ho 2.82, 1 Dy 2.83, 2 Y 2.83
P (0.2502, 0.5000, 0.2515)  3 Ho 2.82, 2 Dy 2.83, 1 Y 2.83
P (0.7498, 0.5000, 0.7485)  3 Ho 2.82, 2 Dy 2.83, 1 Y 2.83
P (0.7508, 0.0000, 0.2516)  3 Ho 2.82, 1 Dy 2.83, 2 Y 2.83



Record 10
Material: DyY2HoP4
Method: DFT, PBE
State: relaxed

The calculation puts the volume at 181.8 Å³ per cell. As for the formation energy: -1.62 eV per atom. As for the space-group type: P2/m, No. 10.

a = 6.9367 Å, b = 4.0066 Å, c = 6.9368 Å
α = 90.00°, β = 109.46°, γ = 90.00°
Closest atoms and distances in Å follow each position.
Atoms (fractional coordinates):
Dy (0.0000, 0.0000, 0.0000)  6 P 2.83
Y (0.0000, 0.5000, 0.5000)  6 P 2.84
Y (0.5000, 0.0000, 0.5000)  6 P 2.83-2.84
Ho (0.5000, 0.5000, 0.0000)  6 P 2.82-2.83
P (0.2502, 0.5000, 0.2489)  1 Ho 2.82, 2 Dy 2.83, 3 Y 2.84
P (0.2510, 0.0000, 0.7514)  2 Ho 2.83, 1 Dy 2.83, 3 Y 2.83-2.84
P (0.7490, 0.0000, 0.2486)  2 Ho 2.83, 1 Dy 2.83, 3 Y 2.83-2.84
P (0.7498, 0.5000, 0.7511)  1 Ho 2.82, 2 Dy 2.83, 3 Y 2.84



Record 11
Material: DyHo2ZrP4
Method: DFT, PBE
State: relaxed

The calculation puts the volume at 170.4 Å³ per cell. As for the formation energy: -1.55 eV per atom. As for the space-group type: P2/m, No. 10.

a = 6.7886 Å, b = 3.9164 Å, c = 6.7905 Å
α = 90.00°, β = 109.28°, γ = 90.00°
Closest atoms and distances in Å follow each position.
Atoms (fractional coordinates):
Dy (0.0000, 0.0000, 0.0000)  6 P 2.77-2.78
Ho (0.5000, 0.0000, 0.5000)  6 P 2.76-2.77
Ho (0.5000, 0.5000, 0.0000)  6 P 2.83
Zr (0.0000, 0.5000, 0.5000)  6 P 2.71-2.72
P (0.2408, 0.0000, 0.7400)  2 Zr 2.72, 3 Ho 2.76-2.83, 1 Dy 2.77
P (0.2455, 0.5000, 0.2562)  1 Zr 2.71, 3 Ho 2.77-2.83, 2 Dy 2.78
P (0.7545, 0.5000, 0.7438)  1 Zr 2.71, 3 Ho 2.77-2.83, 2 Dy 2.78
P (0.7592, 0.0000, 0.2600)  2 Zr 2.72, 3 Ho 2.76-2.83, 1 Dy 2.77



Record 12
Material: DyHoZr2P4
Method: DFT, PBE
State: relaxed

The calculation puts the volume at 162.6 Å³ per cell. As for the formation energy: -1.48 eV per atom. As for the space-group type: P2/m, No. 10.

a = 6.6587 Å, b = 3.8408 Å, c = 6.7375 Å
α = 90.00°, β = 109.29°, γ = 90.00°
Closest atoms and distances in Å follow each position.
Atoms (fractional coordinates):
Dy (0.0000, 0.0000, 0.0000)  6 P 2.78
Ho (0.5000, 0.5000, 0.0000)  6 P 2.78
Zr (0.0000, 0.5000, 0.5000)  6 P 2.68-2.69
Zr (0.5000, 0.0000, 0.5000)  6 P 2.68
P (0.2461, 0.0000, 0.7368)  3 Zr 2.68, 2 Ho 2.78, 1 Dy 2.78
P (0.2551, 0.5000, 0.2636)  3 Zr 2.68-2.69, 1 Ho 2.78, 2 Dy 2.78
P (0.7449, 0.5000, 0.7364)  3 Zr 2.68-2.69, 1 Ho 2.78, 2 Dy 2.78
P (0.7539, 0.0000, 0.2632)  3 Zr 2.68, 2 Ho 2.78, 1 Dy 2.78



Q: The highest volume belongs to which entry?
A: DyY3Ho2P6



Q: Look up the volume of the fifth one.
A: 269.6 Å³ per cell



Please write out number 6 again, unchanged.
Material: DyHoTm2P4
Method: DFT, PBE
State: relaxed

The calculation puts the volume at 177.3 Å³ per cell. As for the formation energy: -1.61 eV per atom. As for the space-group type: P2/m, No. 10.

a = 6.8792 Å, b = 3.9738 Å, c = 6.8801 Å
α = 90.00°, β = 109.47°, γ = 90.00°
Closest atoms and distances in Å follow each position.
Atoms (fractional coordinates):
Dy (0.0000, 0.0000, 0.0000)  6 P 2.82
Ho (0.0000, 0.5000, 0.5000)  6 P 2.82
Tm (0.5000, 0.0000, 0.5000)  6 P 2.79-2.80
Tm (0.5000, 0.5000, 0.0000)  6 P 2.80
P (0.2529, 0.0000, 0.7504)  3 Tm 2.79-2.80, 2 Ho 2.82, 1 Dy 2.82
P (0.2532, 0.5000, 0.2517)  3 Tm 2.80, 1 Ho 2.82, 2 Dy 2.82
P (0.7471, 0.0000, 0.2496)  3 Tm 2.79-2.80, 2 Ho 2.82, 1 Dy 2.82
P (0.7468, 0.5000, 0.7483)  3 Tm 2.80, 1 Ho 2.82, 2 Dy 2.82



Repeat the fourth record exactly.
Material: Dy3HoTm2P6
Method: DFT, PBE
State: relaxed

The calculation puts the volume at 268.3 Å³ per cell. As for the formation energy: -1.61 eV per atom. As for the space-group type: C2/m, No. 12.

a = 6.9005 Å, b = 6.9005 Å, c = 6.8999 Å
α = 99.59°, β = 99.59°, γ = 119.99°
Closest atoms and distances in Å follow each position.
Atoms (fractional coordinates):
Dy (0.0000, 0.0000, 0.0000)  6 P 2.82-2.83
Dy (0.3336, 0.6664, 0.0000)  6 P 2.82-2.83
Dy (0.6664, 0.3336, 0.0000)  6 P 2.82-2.83
Ho (0.5000, 0.5000, 0.5000)  6 P 2.81
Tm (0.1667, 0.8333, 0.5000)  6 P 2.80
Tm (0.8333, 0.1667, 0.5000)  6 P 2.80
P (0.0830, 0.4176, 0.2528)  2 Tm 2.80, 1 Ho 2.81, 3 Dy 2.82-2.83
P (0.2477, 0.2477, 0.7471)  2 Tm 2.80, 1 Ho 2.81, 3 Dy 2.82-2.83
P (0.4176, 0.0830, 0.2528)  2 Tm 2.80, 1 Ho 2.81, 3 Dy 2.82-2.83
P (0.5824, 0.9170, 0.7472)  2 Tm 2.80, 1 Ho 2.81, 3 Dy 2.82-2.83
P (0.7523, 0.7523, 0.2529)  2 Tm 2.80, 1 Ho 2.81, 3 Dy 2.82-2.83
P (0.9170, 0.5824, 0.7472)  2 Tm 2.80, 1 Ho 2.81, 3 Dy 2.82-2.83